1.
# Ba4ReCl

A relaxed structure of Ba4ReCl (PBE-GGA, Alexandria via LeMat-Bulk).

As for the raw formation energy: 0.96 eV/atom. The total DFT energy (no corrections) is -2.703 eV per atom. The size of the total moment is 6.3 Bohr magnetons per cell.

The structure belongs to space group F-43m (No. 216); the cell edges are 10.079, 10.079 and 10.079 Å and the angles 90.00°, 90.00° and 90.00°. The asymmetric unit holds Ba at (0.124, 0.124, 0.376), Re at (0.250, 0.250, 0.750) and Cl at (0.000, 0.000, 0.000).

=====

2.
# BaReCl

A relaxed structure of BaReCl (PBE-GGA, Alexandria via LeMat-Bulk).

As for the raw formation energy: 0.75 eV/atom. The value obtained for the distance to the lowest polymorph of the same formula is 0.000 eV per atom. The total DFT energy (no corrections) is -4.654 eV per atom. The size of the total moment is 11.4 Bohr magnetons per cell.

The structure belongs to space group Fmm2 (No. 42); the cell edges are 4.892, 4.956 and 13.333 Å and the angles 90.00°, 90.00° and 90.00°. The asymmetric unit holds Ba at (0.000, 0.000, 0.000), Re at (0.000, 0.000, 0.322) and Cl at (0.000, 0.000, 0.656).

=====

3.
# BaRe3Cl

A relaxed structure of BaRe3Cl (PBE-GGA, Alexandria via LeMat-Bulk).

As for the raw formation energy: 1.92 eV/atom. The value obtained for the distance to the lowest polymorph of the same formula is 0.000 eV per atom. The total DFT energy (no corrections) is -6.301 eV per atom. The size of the total moment is 2.0 Bohr magnetons per cell.

The structure belongs to space group Pm-3m (No. 221); the cell edges are 4.634, 4.634 and 4.634 Å and the angles 90.00°, 90.00° and 90.00°. The asymmetric unit holds Ba at (0.000, 0.000, 0.000), Re at (0.000, 0.500, 0.500) and Cl at (0.500, 0.500, 0.500).

=====

4.
# Ba2ReCl

A relaxed structure of Ba2ReCl (PBE-GGA, Alexandria via LeMat-Bulk).

As for the raw formation energy: 0.06 eV/atom. The value obtained for the distance to the lowest polymorph of the same formula is 0.092 eV per atom. The total DFT energy (no corrections) is -4.470 eV per atom. The size of the total moment is 4.5 Bohr magnetons per cell.

The structure belongs to space group C2/m (No. 12); the cell edges are 7.634, 4.390 and 8.803 Å and the angles 90.00°, 106.77° and 90.00°. The asymmetric unit holds Ba at (0.246, 0.000, 0.235), Re at (0.000, 0.500, 0.000) and Cl at (0.000, 0.000, 0.500).